KTcNO: relaxed, PBE.

Properties
Volume   135 Å³/cell
Uncorrected energy   -6.866 eV/atom
Energy above the most stable polymorph in this dataset   0 meV/atom

POSCAR file:
```
KTcNO
1.0
-0.2425 -0.7677 -3.3467
5.1543 2.9203 -1.0434
3.3418 -5.5311 1.0265
O K Tc N
2 2 2 2
Direct
0.5000 0.5010 0.1854 O
0.5000 0.0010 0.8146 O
0.5000 0.0005 0.2091 K
0.5000 0.5005 0.7909 K
0.0000 0.5012 0.3386 Tc
0.0000 0.0012 0.6612 Tc
0.0000 0.2512 0.5002 N
0.0000 0.7515 0.4999 N
```